No. 1
A relaxed structure of TlSbPb2, computed with PBE.

For the total moment, the calculation gives 0.00 μB per formula unit. The relative energy among the computed polymorphs comes out at 0.0 kJ/mol of atoms. Its energy relative to the elements, uncorrected is 0.05 eV/f.u. The calculated total energy is -3.4637 eV per atom.

It has space group Cmcm (No. 63), with a = 5.298 Å, b = 21.577 Å, c = 4.748 Å, α = 90.00°, β = 90.00° and γ = 90.00°. The asymmetric unit holds Tl at (0.000, 0.190, 0.250), Sb at (0.000, 0.346, 0.250), Pb at (0.000, 0.058, 0.750) and Pb at (0.000, 0.440, 0.750).

No. 2
A relaxed structure of CaP2Br, computed with PBE.

For the total moment, the calculation gives 0.00 μB per formula unit. The relative energy among the computed polymorphs comes out at 43.0 kJ/mol of atoms. Its energy relative to the elements, uncorrected is -1.55 eV/f.u. The calculated total energy is -4.0106 eV per atom.

It has space group I4/mmm (No. 139), with a = 3.814 Å, b = 3.814 Å, c = 12.258 Å, α = 90.00°, β = 90.00° and γ = 90.00°. The asymmetric unit holds Ca at (0.000, 0.000, 0.000), P at (0.000, 0.500, 0.250) and Br at (0.000, 0.000, 0.500).